This record from the Alexandria database describes an optimized crystal structure of Sr2Tl2Ni. The functional is PBE.

Geometry as extended XYZ:
```
10
Lattice="7.535 0.000 0.000 0.000 7.535 0.000 0.000 0.000 5.285" Properties=species:S:1:pos:R:3 pbc="T T T"
Sr 1.296 2.471 0.000
Sr 2.471 6.239 0.000
Sr 5.064 1.296 0.000
Sr 6.239 5.064 0.000
Tl 1.112 4.879 2.643
Tl 2.656 1.112 2.643
Tl 4.879 6.424 2.643
Tl 6.424 2.656 2.643
Ni 0.000 0.000 2.643
Ni 3.768 3.768 2.643
```

Computed properties:
Total moment ... 0.00 μB per formula unit
V ... 30.011 Å³ per atom
ΔE_f ... -0.12 eV per formula unit
Raw total energy ... -2.800 eV per atom



This record from the Alexandria database describes an optimized crystal structure of CaCoCI2. The functional is PBE.

Geometry as extended XYZ:
```
5
Lattice="5.114 0.000 0.000 0.000 5.114 0.000 0.000 0.000 5.226" Properties=species:S:1:pos:R:3 pbc="T T T"
Ca 0.000 0.000 0.000
Co 0.000 0.000 2.613
C 2.557 2.557 0.000
I 0.000 2.557 2.613
I 2.557 0.000 2.613
```

Computed properties:
Total moment ... 1.65 μB per formula unit
E_form (uncorrected) ... 1.159 eV per atom
V ... 27.334 Å³ per atom
Raw total energy ... -3.127 eV per atom



This record from the Alexandria database describes an optimized crystal structure of NpSbRhAu. The functional is PBE.

Geometry as extended XYZ:
```
4
Lattice="0.000 3.452 3.452 3.452 0.000 3.452 3.452 3.452 0.000" Properties=species:S:1:pos:R:3 pbc="T T T"
Np 0.000 0.000 0.000
Sb 3.452 3.452 3.452
Rh 1.726 1.726 1.726
Au 5.178 5.178 5.178
```

Computed properties:
Total moment ... 3.55 μB per formula unit
E_form (uncorrected) ... -0.179 eV per atom
V ... 20.568 Å³ per atom
Raw total energy ... -7.102 eV per atom



This record from the Alexandria database describes an optimized crystal structure of TbY2Co6. The functional is PBE.

Geometry as extended XYZ:
```
9
Lattice="6.665 0.000 0.000 -3.332 5.772 0.000 0.000 0.000 4.059" Properties=species:S:1:pos:R:3 pbc="T T T"
Tb 0.000 0.000 0.000
Y 0.000 3.848 0.000
Y 3.332 1.924 0.000
Co -1.111 1.924 2.029
Co -2.221 3.848 2.029
Co 2.222 0.000 2.029
Co 1.111 1.924 2.029
Co 4.443 0.000 2.029
Co 2.221 3.848 2.029
```

Computed properties:
Total moment ... 4.38 μB per formula unit
V ... 17.347 Å³ per atom
ΔE_f ... -1.57 eV per formula unit
Raw total energy ... -6.863 eV per atom



This record from the Alexandria database describes an optimized crystal structure of Ba4GaPd3. The functional is PBE.

Geometry as extended XYZ:
```
8
Lattice="4.579 0.000 0.000 0.000 4.717 0.000 0.000 0.000 12.236" Properties=species:S:1:pos:R:3 pbc="T T T"
Ba 0.000 0.000 0.000
Ba 0.000 2.359 3.216
Ba 2.290 0.000 5.893
Ba 2.290 2.359 9.500
Ga 0.000 0.000 8.322
Pd 0.000 2.359 7.178
Pd 2.290 0.000 2.471
Pd 2.290 2.359 0.770
```

Computed properties:
Total moment ... 0.00 μB per formula unit
V ... 33.039 Å³ per atom
ΔE_f ... -3.97 eV per formula unit
Raw total energy ... -3.783 eV per atom



This record from the Alexandria database describes an optimized crystal structure of PrCdCu2. The functional is PBE.

Geometry as extended XYZ:
```
16
Lattice="7.390 0.000 0.000 0.000 4.406 0.000 0.000 0.000 9.861" Properties=species:S:1:pos:R:3 pbc="T T T"
Pr 1.456 1.102 1.749
Pr 2.239 3.305 6.680
Pr 5.151 1.102 3.181
Pr 5.934 3.305 8.112
Cd 0.288 3.305 3.937
Cd 3.407 1.102 8.868
Cd 3.983 3.305 0.994
Cd 7.102 1.102 5.924
Cu 0.635 1.102 8.618
Cu 1.494 3.305 9.539
Cu 2.201 1.102 4.608
Cu 3.059 3.305 3.687
Cu 4.330 1.102 6.174
Cu 5.189 3.305 5.253
Cu 5.895 1.102 0.323
Cu 6.754 3.305 1.243
```

Computed properties:
Total moment ... 0.00 μB per formula unit
V ... 20.069 Å³ per atom
ΔE_f ... -0.84 eV per formula unit
Raw total energy ... -3.681 eV per atom



This record from the Alexandria database describes an optimized crystal structure of Li3Mg6In. The functional is PBE.

Geometry as extended XYZ:
```
20
Lattice="4.952 -8.413 0.000 4.952 8.413 0.000 0.000 0.000 5.431" Properties=species:S:1:pos:R:3 pbc="T T T"
Li 4.952 6.537 2.716
Li 3.362 1.796 0.917
Li 3.362 -1.796 3.633
Li 6.543 1.796 0.917
Li 6.543 -1.796 3.633
Li 4.952 -6.537 0.000
Mg 2.519 3.431 4.049
Mg 1.581 0.705 3.033
Mg 1.581 -0.705 0.318
Mg 4.952 4.964 5.155
Mg 4.952 0.904 3.659
Mg 2.519 -3.431 1.334
Mg 7.386 3.431 4.049
Mg 4.952 -0.904 0.943
Mg 4.952 -4.964 2.439
Mg 8.324 0.705 3.033
Mg 8.324 -0.705 0.318
Mg 7.386 -3.431 1.334
In 4.952 3.638 2.416
In 4.952 -3.638 5.131
```

Computed properties:
Total moment ... 0.00 μB per formula unit
V ... 22.628 Å³ per atom
ΔE_f ... -0.08 eV per formula unit
Raw total energy ... -1.813 eV per atom



This record from the Alexandria database describes an optimized crystal structure of Mg4AlPd. The functional is PBE.

Geometry as extended XYZ:
```
6
Lattice="-3.392 3.392 2.602 3.392 -3.392 2.602 3.392 3.392 -2.602" Properties=species:S:1:pos:R:3 pbc="T T T"
Mg 2.298 -1.094 1.301
Mg 4.486 1.094 1.301
Mg 1.094 2.298 1.301
Mg -1.094 4.486 1.301
Al 0.000 0.000 2.602
Pd 0.000 0.000 0.000
```

Computed properties:
Total moment ... 0.00 μB per formula unit
V ... 19.960 Å³ per atom
ΔE_f ... -1.84 eV per formula unit
Raw total energy ... -2.860 eV per atom



Question: Which value of V does entry 6 give?
Answer: 20.069 Å³ per atom